Entry 1:
Compound: Sc2Mn2Pt
Source: Alexandria via LeMat-Bulk
Functional: PBE
Structure: optimized geometry

It has space group P4/mbm (No. 127), with a = 6.357 Å, b = 6.357 Å, c = 4.053 Å, α = 90.00°, β = 90.00° and γ = 90.00°. The distinct sites, in fractional coordinates, are Sc at (0.183, 0.317, 0.000), Mn at (0.111, 0.611, 0.500) and Pt at (0.000, 0.000, 0.500).

As for the formation enthalpy at 0 K: -0.32 eV/atom. The value obtained for the final energy is -7.7293 eV per atom.

***

Entry 2:
Compound: Sc2MnPt
Source: Alexandria via LeMat-Bulk
Functional: PBE
Structure: optimized geometry

It has space group P4/mmm (No. 123), with a = 3.285 Å, b = 3.285 Å, c = 6.534 Å, α = 90.00°, β = 90.00° and γ = 90.00°. The distinct sites, in fractional coordinates, are Sc at (0.000, 0.000, 0.249), Mn at (0.500, 0.500, 0.000) and Pt at (0.500, 0.500, 0.500).

As for the formation enthalpy at 0 K: -0.61 eV/atom. The value obtained for the final energy is -7.5791 eV per atom.

***

Entry 3:
Compound: Sc4MnPt5
Source: Alexandria via LeMat-Bulk
Functional: PBE
Structure: optimized geometry

It has space group P4/mmm (No. 123), with a = 3.278 Å, b = 3.278 Å, c = 16.190 Å, α = 90.00°, β = 90.00° and γ = 90.00°. The distinct sites, in fractional coordinates, are Sc at (0.000, 0.000, 0.104), Sc at (0.000, 0.000, 0.311), Mn at (0.000, 0.000, 0.500), Pt at (0.500, 0.500, 0.000), Pt at (0.500, 0.500, 0.208) and Pt at (0.500, 0.500, 0.409).

As for the formation enthalpy at 0 K: -1.07 eV/atom. The value obtained for the final energy is -7.5430 eV per atom.

***

Entry 4:
Compound: Sc2MnPt
Source: Alexandria via LeMat-Bulk
Functional: PBE
Structure: optimized geometry

It has space group Imm2 (No. 44), with a = 3.438 Å, b = 4.455 Å, c = 9.537 Å, α = 90.00°, β = 90.00° and γ = 90.00°. The distinct sites, in fractional coordinates, are Sc at (0.000, 0.000, 0.000), Sc at (0.000, 0.500, 0.223), Mn at (0.000, 0.500, 0.769) and Pt at (0.000, 0.000, 0.488).

As for the formation enthalpy at 0 K: -0.53 eV/atom. The value obtained for the final energy is -7.4946 eV per atom.

***

Entry 5:
Compound: ScMn2Pt
Source: Alexandria via LeMat-Bulk
Functional: PBE
Structure: optimized geometry

It has space group Imm2 (No. 44), with a = 3.982 Å, b = 3.994 Å, c = 8.033 Å, α = 90.00°, β = 90.00° and γ = 90.00°. The distinct sites, in fractional coordinates, are Sc at (0.000, 0.000, 0.000), Mn at (0.000, 0.000, 0.501), Mn at (0.000, 0.500, 0.750) and Pt at (0.000, 0.500, 0.250).

As for the formation enthalpy at 0 K: -0.28 eV/atom. The value obtained for the final energy is -7.9597 eV per atom.

***

Entry 6:
Compound: Sc2MnPt9
Source: Alexandria via LeMat-Bulk
Functional: PBE
Structure: optimized geometry

It has space group P4/mmm (No. 123), with a = 3.984 Å, b = 3.984 Å, c = 11.937 Å, α = 90.00°, β = 90.00° and γ = 90.00°. The distinct sites, in fractional coordinates, are Sc at (0.000, 0.000, 0.169), Mn at (0.000, 0.000, 0.500), Pt at (0.000, 0.500, 0.000), Pt at (0.000, 0.500, 0.337), Pt at (0.500, 0.500, 0.169) and Pt at (0.500, 0.500, 0.500).

As for the formation enthalpy at 0 K: -0.82 eV/atom. The value obtained for the final energy is -7.1705 eV per atom.